{
  "formula": "AcAgRhAu",
  "functional": "PBE-GGA",
  "state": "optimized geometry",
  "cell": [[0.000, 3.559, 3.559], [3.559, 0.000, 3.559], [3.559, 3.559, 0.000]],
  "species": ["Ac", "Ag", "Rh", "Au"],
  "fractional_positions": [[0.000, 0.000, 0.000], [0.500, 0.500, 0.500], [0.250, 0.250, 0.250], [0.750, 0.750, 0.750]],
  "space_group": "No. 216",
  "total_magnetization_mub_per_cell": 0.00,
  "energy_ev_per_fu": -18.643,
  "n_ef_per_ev_atom": 0.425,
  "ef_mev_per_atom": -264
}



{
  "formula": "AcAgSbAu",
  "functional": "PBE-GGA",
  "state": "optimized geometry",
  "cell": [[0.000, 3.728, 3.728], [3.728, 0.000, 3.728], [3.728, 3.728, 0.000]],
  "species": ["Ac", "Ag", "Sb", "Au"],
  "fractional_positions": [[0.000, 0.000, 0.000], [0.750, 0.750, 0.750], [0.500, 0.500, 0.500], [0.250, 0.250, 0.250]],
  "formation_energy_uncorrected_ev_per_fu": -2.1,
  "space_group": "No. 216",
  "total_magnetization_mub_per_cell": 0.00,
  "energy_ev_per_fu": -16.412,
  "n_ef_per_ev_atom": 0.265
}



{
  "formula": "Ac3AgSb2Au6",
  "functional": "PBE-GGA",
  "state": "optimized geometry",
  "cell": [[6.443, 0.000, 0.000], [-3.222, 5.580, 0.000], [0.000, 0.000, 8.913]],
  "species": ["Ac", "Ac", "Ac", "Ag", "Sb", "Sb", "Au", "Au", "Au", "Au", "Au", "Au"],
  "fractional_positions": [[0.000, 0.000, 0.000], [0.333, 0.667, 0.630], [0.667, 0.333, 0.370], [0.000, 0.000, 0.500], [0.333, 0.667, 0.043], [0.667, 0.333, 0.957], [0.177, 0.354, 0.288], [0.177, 0.823, 0.288], [0.354, 0.177, 0.712], [0.646, 0.823, 0.288], [0.823, 0.177, 0.712], [0.823, 0.646, 0.712]],
  "formation_energy_uncorrected_ev_per_fu": -6.5,
  "space_group": "No. 164",
  "total_magnetization_mub_per_cell": 0.00,
  "energy_ev_per_fu": -49.609,
  "n_ef_per_ev_atom": 0.417
}